# 1
Hg2SbBr3: relaxed, GGA-PBE.

crystal system = monoclinic
formation energy (no corrections) = -365 meV/atom

```
Hg2SbBr3
1.0
10.633 0.000 0.000
0.000 8.700 0.000
-3.768 0.000 10.104
Hg Sb Br
8 4 12
Cartesian
0.070 1.491 0.563
-1.814 2.859 5.615
3.179 1.398 4.325
1.295 2.952 9.377
5.570 5.748 0.727
3.686 7.302 5.779
8.679 5.841 4.489
6.795 7.209 9.541
2.858 6.409 0.136
0.974 6.641 5.188
5.891 2.059 4.916
4.007 2.291 9.968
0.555 0.690 4.046
-1.329 3.660 9.098
1.977 5.401 2.424
0.093 7.649 7.476
3.224 0.199 1.046
1.340 4.151 6.098
5.525 4.549 4.006
3.641 8.501 9.058
6.772 1.051 2.628
4.888 3.299 7.679
8.194 5.040 1.006
6.310 8.010 6.058
```

***

# 2
Hg2SbBr: relaxed, GGA-PBE.

energy relative to the lowest polymorph listed for this composition = 25.0 kJ per mole of atoms
crystal system = orthorhombic
formation energy (no corrections) = 55 meV/atom

```
Hg2SbBr
1.0
-1.737 2.513 6.733
1.737 -2.513 6.733
1.737 2.513 -6.733
Hg Sb Br
2 1 1
Cartesian
0.000 0.000 2.763
0.000 0.000 10.703
1.737 0.000 0.000
0.000 2.513 0.000
```

***

DFT total energy for every record listed, in sequence, given in eV/f.u.: -11.93 -6.18.